Arrangement i

First-principles (GGA-PBE) data for HfSi3Hg after structural relaxation, as listed in Alexandria via LeMat-Bulk.

Output
DOS at the Fermi energy, states/eV/atom: 0.91
Density, g/cm3: 6.50
Space group: Pm-3m

Lattice parameters (Å, degrees): 4.9092 4.9092 4.9092 90.00 90.00 90.00
Positions (direct):
1 Hf 0.0000 0.0000 0.0000
2 Si 0.0000 0.5000 0.5000
3 Si 0.5000 0.0000 0.5000
4 Si 0.5000 0.5000 0.0000
5 Hg 0.5000 0.5000 0.5000

Arrangement ii

First-principles (GGA-PBE) data for HfSi3Hg after structural relaxation, as listed in Alexandria via LeMat-Bulk.

Output
DOS at the Fermi energy, states/eV/atom: 0.51
Density, g/cm3: 5.74
Space group: Pm-3m

Lattice parameters (Å, degrees): 5.1184 5.1184 5.1184 90.00 90.00 90.00
Positions (direct):
1 Hf 0.0000 0.0000 0.0000
2 Si 0.0000 0.0000 0.5000
3 Si 0.0000 0.5000 0.0000
4 Si 0.5000 0.0000 0.0000
5 Hg 0.5000 0.5000 0.5000

Need the numbers? Relative energies in meV/atom: arrangement i 602; arrangement ii 0.

Arrangement i

First-principles (GGA-PBE) data for HfSn3Hg after structural relaxation, as listed in Alexandria via LeMat-Bulk.

Output
DOS at the Fermi energy, states/eV/atom: 0.49
Density, g/cm3: 7.08
Space group: Pm-3m

Lattice parameters (Å, degrees): 5.5657 5.5657 5.5657 90.00 90.00 90.00
Positions (direct):
1 Hf 0.0000 0.0000 0.0000
2 Sn 0.0000 0.0000 0.5000
3 Sn 0.0000 0.5000 0.0000
4 Sn 0.5000 0.0000 0.0000
5 Hg 0.5000 0.5000 0.5000

Arrangement ii

First-principles (GGA-PBE) data for HfSn3Hg after structural relaxation, as listed in Alexandria via LeMat-Bulk.

Output
DOS at the Fermi energy, states/eV/atom: 0.86
Density, g/cm3: 7.69
Space group: Pm-3m

Lattice parameters (Å, degrees): 5.4144 5.4144 5.4144 90.00 90.00 90.00
Positions (direct):
1 Hf 0.0000 0.0000 0.0000
2 Sn 0.0000 0.5000 0.5000
3 Sn 0.5000 0.0000 0.5000
4 Sn 0.5000 0.5000 0.0000
5 Hg 0.5000 0.5000 0.5000

Need the numbers? Relative energies in meV/atom: arrangement i 0; arrangement ii 676.

Arrangement i

First-principles (GGA-PBE) data for Hf3SnHg after structural relaxation, as listed in Alexandria via LeMat-Bulk.

Output
DOS at the Fermi energy, states/eV/atom: 1.37
Density, g/cm3: 10.17
Space group: Pm-3m

Lattice parameters (Å, degrees): 5.1874 5.1874 5.1874 90.00 90.00 90.00
Positions (direct):
1 Hf 0.0000 0.0000 0.5000
2 Hf 0.0000 0.5000 0.0000
3 Hf 0.5000 0.0000 0.0000
4 Sn 0.5000 0.5000 0.5000
5 Hg 0.0000 0.0000 0.0000

Arrangement ii

First-principles (GGA-PBE) data for Hf3SnHg after structural relaxation, as listed in Alexandria via LeMat-Bulk.

Output
DOS at the Fermi energy, states/eV/atom: 0.77
Density, g/cm3: 11.59
Space group: Cmcm

Lattice parameters (Å, degrees): 7.7410 7.7410 9.8204 90.00 90.00 155.40
Positions (direct):
1 Hf 0.1142 0.8858 0.7500
2 Hf 0.3358 0.6642 0.5125
3 Hf 0.3358 0.6642 0.9875
4 Hf 0.6642 0.3358 0.0125
5 Hf 0.6642 0.3358 0.4875
6 Hf 0.8858 0.1142 0.2500
7 Sn 0.2184 0.7816 0.2500
8 Sn 0.7816 0.2184 0.7500
9 Hg 0.0000 0.0000 0.0000
10 Hg 0.0000 0.0000 0.5000

Arrangement iii

First-principles (GGA-PBE) data for Hf3SnHg after structural relaxation, as listed in Alexandria via LeMat-Bulk.

Output
DOS at the Fermi energy, states/eV/atom: 0.78
Density, g/cm3: 11.95
Space group: Cmcm

Lattice parameters (Å, degrees): 8.2510 8.2510 5.3555 90.00 90.00 139.34
Positions (direct):
1 Hf 0.0000 0.0000 0.0000
2 Hf 0.0000 0.0000 0.5000
3 Hf 0.0875 0.4028 0.2500
4 Hf 0.4028 0.0875 0.7500
5 Hf 0.5972 0.9125 0.2500
6 Hf 0.9125 0.5972 0.7500
7 Sn 0.1759 0.8241 0.2500
8 Sn 0.8241 0.1759 0.7500
9 Hg 0.4415 0.5585 0.7500
10 Hg 0.5585 0.4415 0.2500

Need the numbers? Relative energies in meV/atom: arrangement i 910; arrangement ii 0; arrangement iii 210.

Arrangement i

First-principles (GGA-PBE) data for HfSnHg after structural relaxation, as listed in Alexandria via LeMat-Bulk.

Output
DOS at the Fermi energy, states/eV/atom: 0.43
Density, g/cm3: 12.17
Space group: P3m1

Lattice parameters (Å, degrees): 4.9326 4.9326 3.2235 90.00 90.00 120.00
Positions (direct):
1 Hf 0.0000 0.0000 0.0000
2 Sn 0.6667 0.3333 0.4308
3 Hg 0.3333 0.6667 0.7132

Arrangement ii

First-principles (GGA-PBE) data for HfSnHg after structural relaxation, as listed in Alexandria via LeMat-Bulk.

Output
DOS at the Fermi energy, states/eV/atom: 0.27
Density, g/cm3: 11.91
Space group: Amm2

Lattice parameters (Å, degrees): 14.7700 3.2943 3.2943 59.98 90.00 90.00
Positions (direct):
1 Hf 0.0000 0.0000 0.0000
2 Hf 0.5000 0.3406 0.3406
3 Sn 0.3353 0.0057 0.0057
4 Sn 0.6647 0.0057 0.0057
5 Hg 0.1606 0.3310 0.3310
6 Hg 0.8394 0.3310 0.3310

Need the numbers? Relative energies in meV/atom: arrangement i 75; arrangement ii 0.

Arrangement i

First-principles (GGA-PBE) data for SrHf3Hg after structural relaxation, as listed in Alexandria via LeMat-Bulk.

Output
DOS at the Fermi energy, states/eV/atom: 1.56
Density, g/cm3: 10.03
Space group: Pm-3m

Lattice parameters (Å, degrees): 5.1478 5.1478 5.1478 90.00 90.00 90.00
Positions (direct):
1 Sr 0.0000 0.0000 0.0000
2 Hf 0.0000 0.0000 0.5000
3 Hf 0.0000 0.5000 0.0000
4 Hf 0.5000 0.0000 0.0000
5 Hg 0.5000 0.5000 0.5000

Arrangement ii

First-principles (GGA-PBE) data for SrHf3Hg after structural relaxation, as listed in Alexandria via LeMat-Bulk.

Output
DOS at the Fermi energy, states/eV/atom: 1.26
Density, g/cm3: 8.82
Space group: Pm-3m

Lattice parameters (Å, degrees): 5.3728 5.3728 5.3728 90.00 90.00 90.00
Positions (direct):
1 Sr 0.0000 0.0000 0.0000
2 Hf 0.0000 0.5000 0.5000
3 Hf 0.5000 0.0000 0.5000
4 Hf 0.5000 0.5000 0.0000
5 Hg 0.5000 0.5000 0.5000

Need the numbers? Relative energies in meV/atom: arrangement i 1052; arrangement ii 0.

Arrangement i

First-principles (GGA-PBE) data for HfTa3Hg after structural relaxation, as listed in Alexandria via LeMat-Bulk.

Output
DOS at the Fermi energy, states/eV/atom: 1.01
Density, g/cm3: 12.82
Space group: Pm-3m

Lattice parameters (Å, degrees): 4.9243 4.9243 4.9243 90.00 90.00 90.00
Positions (direct):
1 Hf 0.0000 0.0000 0.0000
2 Ta 0.0000 0.0000 0.5000
3 Ta 0.0000 0.5000 0.0000
4 Ta 0.5000 0.0000 0.0000
5 Hg 0.5000 0.5000 0.5000

Arrangement ii

First-principles (GGA-PBE) data for HfTa3Hg after structural relaxation, as listed in Alexandria via LeMat-Bulk.

Output
DOS at the Fermi energy, states/eV/atom: 1.83
Density, g/cm3: 12.23
Space group: Pm-3m

Lattice parameters (Å, degrees): 5.0026 5.0026 5.0026 90.00 90.00 90.00
Positions (direct):
1 Hf 0.0000 0.0000 0.0000
2 Ta 0.0000 0.5000 0.5000
3 Ta 0.5000 0.0000 0.5000
4 Ta 0.5000 0.5000 0.0000
5 Hg 0.5000 0.5000 0.5000

Need the numbers? Relative energies in meV/atom: arrangement i 0; arrangement ii 120.

Arrangement i

First-principles (GGA-PBE) data for HfTaHg after structural relaxation, as listed in Alexandria via LeMat-Bulk.

Output
DOS at the Fermi energy, states/eV/atom: 1.18
Density, g/cm3: 14.95
Space group: C2/m

Lattice parameters (Å, degrees): 5.3944 5.3944 5.8878 116.90 116.90 58.02
Positions (direct):
1 Hf 0.1646 0.1646 0.2629
2 Hf 0.8354 0.8354 0.7371
3 Ta 0.1456 0.1456 0.7434
4 Ta 0.8544 0.8544 0.2566
5 Hg 0.4899 0.4899 0.2387
6 Hg 0.5101 0.5101 0.7613

Arrangement ii

First-principles (GGA-PBE) data for HfTaHg after structural relaxation, as listed in Alexandria via LeMat-Bulk.

Output
DOS at the Fermi energy, states/eV/atom: 0.63
Density, g/cm3: 15.00
Space group: P4/nmm

Lattice parameters (Å, degrees): 3.3842 3.3842 10.8293 90.00 90.00 90.00
Positions (direct):
1 Hf 0.2500 0.2500 0.2287
2 Hf 0.7500 0.7500 0.7713
3 Ta 0.2500 0.2500 0.9287
4 Ta 0.7500 0.7500 0.0713
5 Hg 0.2500 0.2500 0.5922
6 Hg 0.7500 0.7500 0.4078

Need the numbers? Relative energies in meV/atom: arrangement i 353; arrangement ii 0.

Arrangement i

First-principles (GGA-PBE) data for Hf3TcHg after structural relaxation, as listed in Alexandria via LeMat-Bulk.

Output
DOS at the Fermi energy, states/eV/atom: 1.41
Density, g/cm3: 10.51
Space group: Pm-3m

Lattice parameters (Å, degrees): 5.0892 5.0892 5.0892 90.00 90.00 90.00
Positions (direct):
1 Hf 0.0000 0.0000 0.5000
2 Hf 0.0000 0.5000 0.0000
3 Hf 0.5000 0.0000 0.0000
4 Tc 0.5000 0.5000 0.5000
5 Hg 0.0000 0.0000 0.0000

Arrangement ii

First-principles (GGA-PBE) data for Hf3TcHg after structural relaxation, as listed in Alexandria via LeMat-Bulk.

Output
DOS at the Fermi energy, states/eV/atom: 1.67
Density, g/cm3: 11.17
Space group: Pm-3m

Lattice parameters (Å, degrees): 4.9865 4.9865 4.9865 90.00 90.00 90.00
Positions (direct):
1 Hf 0.0000 0.0000 0.5000
2 Hf 0.0000 0.5000 0.0000
3 Hf 0.5000 0.0000 0.0000
4 Tc 0.0000 0.0000 0.0000
5 Hg 0.5000 0.5000 0.5000

Need the numbers? Relative energies in meV/atom: arrangement i 1185; arrangement ii 0.